[1]
Computed, not measured: crystalline Cd2P6O17 at its relaxed geometry at the PBE level of DFT.

POSCAR file:
```
Cd2P6O17
1.0
-2.4976 4.2256 -2.0354
-15.8742 -8.6350 1.5518
0.4947 0.4463 7.5440
O P Cd
34 12 4
Direct
0.0294 0.6737 0.5233 O
0.1695 0.6891 0.2467 O
0.0384 0.6435 0.9133 O
0.4918 0.8780 0.0401 O
0.0294 0.8263 0.0233 O
0.4792 0.1184 0.3416 O
0.9616 0.1435 0.5867 O
0.2309 0.9843 0.7096 O
0.8305 0.1891 0.2533 O
0.2309 0.5157 0.2096 O
0.4168 0.7587 0.5443 O
0.8305 0.3109 0.7533 O
0.4792 0.3816 0.8416 O
0.5208 0.6185 0.1584 O
0.5000 0.0000 0.5000 O
0.4168 0.7413 0.0443 O
0.0384 0.8565 0.4133 O
0.9706 0.3263 0.4767 O
0.7584 0.5094 0.3480 O
0.5082 0.1220 0.9599 O
0.5208 0.8816 0.6584 O
0.7691 0.4843 0.7904 O
0.1695 0.8109 0.7467 O
0.4918 0.6220 0.5401 O
0.5082 0.3780 0.4599 O
0.2416 0.0094 0.1520 O
0.9706 0.1737 0.9767 O
0.5000 0.5000 0.0000 O
0.7584 0.9906 0.8480 O
0.5832 0.2587 0.9557 O
0.2416 0.4906 0.6520 O
0.5832 0.2413 0.4557 O
0.7691 0.0157 0.2904 O
0.9616 0.3565 0.0867 O
0.7232 0.3217 0.5249 P
0.2768 0.8217 0.9751 P
0.4970 0.9694 0.6936 P
0.7346 0.3292 0.9212 P
0.4970 0.5306 0.1936 P
0.7346 0.1708 0.4212 P
0.5030 0.0306 0.3064 P
0.2654 0.6708 0.0788 P
0.2768 0.6783 0.4751 P
0.2654 0.8292 0.5788 P
0.7232 0.1783 0.0249 P
0.5030 0.4694 0.8064 P
0.0922 0.4262 0.3561 Cd
0.9078 0.9262 0.1439 Cd
0.9078 0.5738 0.6439 Cd
0.0921 0.0738 0.8561 Cd
```

## Properties
Space group: P2_1/c (14)
E_tot, eV/atom: -6.71

---

[2]
Computed, not measured: crystalline Cd3P2O8 at its relaxed geometry at the PBE level of DFT.

POSCAR file:
```
Cd3P2O8
1.0
-5.0538 1.1247 -0.2759
-2.5472 -0.8469 4.6950
0.0628 5.7138 3.6198
O P Cd
8 2 3
Direct
0.8090 0.3297 0.3410 O
0.6357 0.8423 0.3403 O
0.7633 0.7383 0.0047 O
0.3643 0.1577 0.6597 O
0.3365 0.6490 0.2016 O
0.1910 0.6703 0.6590 O
0.6635 0.3510 0.7984 O
0.2367 0.2617 0.9953 O
0.3638 0.3659 0.7757 P
0.6362 0.6341 0.2243 P
0.0000 0.0000 0.0000 Cd
0.2627 0.2403 0.3306 Cd
0.7373 0.7597 0.6694 Cd
```

## Properties
Distance to the lowest polymorph of the same formula, eV per atom: 0.007
Space group: P-1 (2)

---

[3]
Computed, not measured: crystalline Cd3P2O8 at its relaxed geometry at the PBE level of DFT.

POSCAR file:
```
Cd3P2O8
1.0
-1.8820 6.8688 -2.6940
-4.0139 2.1877 8.3819
9.1873 2.5906 0.1871
O Cd P
32 12 8
Direct
0.2769 0.1770 0.8421 O
0.1934 0.3194 0.1524 O
0.7769 0.3230 0.6579 O
0.3658 0.3944 0.3944 O
0.3066 0.8194 0.6524 O
0.6934 0.3476 0.1806 O
0.2231 0.3421 0.6770 O
0.7231 0.8230 0.1579 O
0.5209 0.1166 0.1166 O
0.7769 0.6579 0.3230 O
0.9170 0.9121 0.3742 O
0.5830 0.8742 0.4121 O
0.4170 0.5879 0.1258 O
0.0830 0.6258 0.0879 O
0.0209 0.3834 0.3834 O
0.1934 0.1524 0.3194 O
0.4170 0.1258 0.5879 O
0.6934 0.1806 0.3476 O
0.8066 0.8476 0.6806 O
0.8066 0.6806 0.8476 O
0.5830 0.4121 0.8742 O
0.3066 0.6524 0.8194 O
0.7231 0.1579 0.8230 O
0.4791 0.8834 0.8834 O
0.9170 0.3742 0.9121 O
0.6342 0.6056 0.6056 O
0.2231 0.6770 0.3421 O
0.0830 0.0879 0.6258 O
0.9791 0.6166 0.6166 O
0.8658 0.1056 0.1056 O
0.1342 0.8944 0.8944 O
0.2769 0.8421 0.1770 O
0.5000 0.6065 0.3935 Cd
0.5596 0.9674 0.6835 Cd
0.0000 0.8935 0.1065 Cd
0.9404 0.4674 0.1835 Cd
0.0596 0.8165 0.5326 Cd
0.5596 0.6835 0.9674 Cd
0.9404 0.1835 0.4674 Cd
0.4404 0.3165 0.0326 Cd
0.0000 0.1065 0.8935 Cd
0.5000 0.3935 0.6065 Cd
0.4404 0.0326 0.3165 Cd
0.0596 0.5326 0.8165 Cd
0.1956 0.3146 0.3146 P
0.2500 0.1835 0.6835 P
0.8044 0.6854 0.6854 P
0.6956 0.1854 0.1854 P
0.7500 0.3165 0.8165 P
0.2500 0.6835 0.1835 P
0.3044 0.8146 0.8146 P
0.7500 0.8165 0.3165 P
```

## Properties
Distance to the lowest polymorph of the same formula, eV per atom: 0.000
Space group: Cmce (64)

---

[4]
Computed, not measured: crystalline CdPPdO at its relaxed geometry at the PBE level of DFT.

POSCAR file:
```
CdPPdO
1.0
4.2931 0.0000 0.0000
0.0000 4.2931 0.0000
0.0000 0.0000 8.3142
P O Pd Cd
2 2 2 2
Direct
0.5000 0.0000 0.3201 P
0.0000 0.5000 0.6799 P
0.0000 0.0000 0.0000 O
0.5000 0.5000 0.0000 O
0.0000 0.5000 0.9531 Pd
0.5000 0.0000 0.0469 Pd
0.5000 0.5000 0.5000 Cd
0.0000 0.0000 0.5000 Cd
```

## Properties
Distance to the lowest polymorph of the same formula, eV per atom: 0.439
Space group: P4/nmm (129)

---

[5]
Computed, not measured: crystalline CdPPdO at its relaxed geometry at the PBE level of DFT.

POSCAR file:
```
CdPPdO
1.0
-4.1311 0.0990 0.9546
-0.7834 -2.7848 -3.1013
0.9648 -5.5635 4.7520
P O Pd Cd
2 2 2 2
Direct
0.5000 0.5000 0.3495 P
0.0000 0.0000 0.6505 P
0.5000 0.0000 0.0000 O
0.0000 0.5000 0.0000 O
0.0000 0.5000 0.5000 Pd
0.5000 0.0000 0.5000 Pd
0.5000 0.5000 0.9037 Cd
0.0000 0.0000 0.0963 Cd
```

## Properties
Distance to the lowest polymorph of the same formula, eV per atom: 0.000
Space group: P4/nmm (129)

---

[6]
Computed, not measured: crystalline CdPPdO at its relaxed geometry at the PBE level of DFT.

POSCAR file:
```
CdPPdO
1.0
3.1892 0.0000 0.0000
0.0000 7.2086 0.0000
0.0000 0.0000 5.4727
Cd P Pd O
2 2 2 2
Direct
0.0000 0.1456 0.0293 Cd
0.0000 0.8544 0.5293 Cd
0.0000 0.4823 0.4962 P
0.0000 0.5177 0.9962 P
0.5000 0.7414 0.9520 Pd
0.5000 0.2586 0.4520 Pd
0.5000 0.0299 0.7764 O
0.5000 0.9701 0.2764 O
```

## Properties
Distance to the lowest polymorph of the same formula, eV per atom: 0.081
Space group: Pmc2_1 (26)

---

[7]
Computed, not measured: crystalline CdPPdO at its relaxed geometry at the PBE level of DFT.

POSCAR file:
```
CdPPdO
1.0
-2.7074 -0.2570 -3.1579
3.9801 -2.8112 -3.1836
-1.8819 -4.9474 2.0160
P Pd Cd O
2 2 2 2
Direct
0.0000 0.8793 0.3445 P
0.0000 0.1207 0.8445 P
0.0000 0.2658 0.4581 Pd
0.0000 0.7342 0.9581 Pd
0.5000 0.2973 0.0275 Cd
0.5000 0.7027 0.5275 Cd
0.5000 0.6714 0.9240 O
0.5000 0.3286 0.4240 O
```

## Properties
Distance to the lowest polymorph of the same formula, eV per atom: 0.210
Space group: Pmc2_1 (26)

---

[8]
Computed, not measured: crystalline CdPPdO at its relaxed geometry at the PBE level of DFT.

POSCAR file:
```
CdPPdO
1.0
-0.1874 3.5526 -2.1781
-2.3556 -1.8889 -2.8782
-6.4343 2.0603 3.9139
Cd P O Pd
2 2 2 2
Direct
0.0000 0.5000 0.0940 Cd
0.5000 0.0000 0.9060 Cd
0.0000 0.5000 0.6511 P
0.5000 0.0000 0.3489 P
0.5000 0.5000 0.0000 O
0.0000 0.0000 0.0000 O
0.5000 0.5000 0.5000 Pd
0.0000 0.0000 0.5000 Pd
```

## Properties
Distance to the lowest polymorph of the same formula, eV per atom: 0.005
Space group: P4/nmm (129)

---

[9]
Computed, not measured: crystalline PrCdPO at its relaxed geometry at the PBE level of DFT.

POSCAR file:
```
PrCdPO
1.0
4.1075 0.0000 0.0000
0.0000 6.0598 0.0000
0.0000 0.0000 6.9611
O Cd Pr P
2 2 2 2
Direct
0.5000 0.7565 0.3792 O
0.5000 0.2435 0.8792 O
0.0000 0.4049 0.9730 Cd
0.0000 0.5951 0.4730 Cd
0.5000 0.0616 0.5883 Pr
0.5000 0.9384 0.0883 Pr
0.0000 0.2160 0.3136 P
0.0000 0.7840 0.8136 P
```

## Properties
Space group: Pmc2_1 (26)
E_tot, eV/atom: -5.37

---

[10]
Computed, not measured: crystalline PrCdPO at its relaxed geometry at the PBE level of DFT.

POSCAR file:
```
PrCdPO
1.0
-1.4780 3.7342 -1.9633
-0.5701 -3.2782 -5.8060
-5.6870 -1.5092 1.4105
Pr O Cd P
2 2 2 2
Direct
0.0000 0.7728 0.9290 Pr
0.0000 0.2272 0.4290 Pr
0.5000 0.6751 0.9011 O
0.5000 0.3249 0.4011 O
0.5000 0.3483 0.0031 Cd
0.5000 0.6517 0.5031 Cd
0.0000 0.7959 0.4208 P
0.0000 0.2041 0.9208 P
```

## Properties
Space group: Pmc2_1 (26)
E_tot, eV/atom: -5.45

---

[11]
Computed, not measured: crystalline RbCdPO at its relaxed geometry at the PBE level of DFT.

POSCAR file:
```
RbCdPO
1.0
-2.9333 1.6391 2.6630
0.5728 -3.3078 2.6670
8.0294 5.6952 5.3390
P O Cd Rb
2 2 2 2
Direct
0.7500 0.7500 0.3605 P
0.2500 0.2500 0.6395 P
0.7500 0.2500 0.0000 O
0.2500 0.7500 0.0000 O
0.2500 0.7500 0.5000 Cd
0.7500 0.2500 0.5000 Cd
0.2500 0.2500 0.1512 Rb
0.7500 0.7500 0.8488 Rb
```

## Properties
Distance to the lowest polymorph of the same formula, eV per atom: 0.496
Space group: P4/nmm (129)

---

[12]
Computed, not measured: crystalline Rb2CdP2O7 at its relaxed geometry at the PBE level of DFT.

POSCAR file:
```
Rb2CdP2O7
1.0
-4.5270 -2.3943 1.6146
2.2826 -7.9311 -5.3611
8.0577 -5.6542 11.7954
O Cd P Rb
28 4 8 8
Direct
0.5087 0.7975 0.7887 O
0.1996 0.3937 0.1651 O
0.1996 0.1063 0.6651 O
0.9758 0.6704 0.2830 O
0.0242 0.1704 0.2170 O
0.2544 0.3360 0.3236 O
0.4913 0.2025 0.2113 O
0.5911 0.8800 0.5965 O
0.5087 0.7025 0.2887 O
0.6570 0.6555 0.5156 O
0.4089 0.1200 0.4035 O
0.8004 0.6063 0.8349 O
0.7456 0.6640 0.6764 O
0.0314 0.7100 0.0765 O
0.4913 0.2975 0.7113 O
0.9686 0.2900 0.9235 O
0.6570 0.8445 0.0156 O
0.9758 0.8296 0.7830 O
0.5911 0.6200 0.0965 O
0.0314 0.7900 0.5765 O
0.7456 0.8360 0.1764 O
0.8004 0.8937 0.3349 O
0.9686 0.2100 0.4235 O
0.3430 0.1555 0.9844 O
0.0242 0.3296 0.7170 O
0.2544 0.1640 0.8236 O
0.3430 0.3445 0.4844 O
0.4089 0.3800 0.9035 O
0.7414 0.1107 0.3145 Cd
0.7414 0.3893 0.8145 Cd
0.2586 0.6107 0.1855 Cd
0.2586 0.8893 0.6855 Cd
0.2457 0.2457 0.4158 P
0.7601 0.7712 0.2746 P
0.2399 0.2712 0.2254 P
0.7601 0.7288 0.7746 P
0.7543 0.7543 0.5842 P
0.7543 0.7457 0.0842 P
0.2399 0.2288 0.7254 P
0.2457 0.2543 0.9158 P
0.7175 0.1559 0.5761 Rb
0.7175 0.3441 0.0761 Rb
0.2614 0.5253 0.6119 Rb
0.2825 0.8441 0.4239 Rb
0.2825 0.6559 0.9239 Rb
0.7386 0.0253 0.8881 Rb
0.7386 0.4747 0.3881 Rb
0.2614 0.9747 0.1119 Rb
```

## Properties
Space group: P2_1/c (14)
E_tot, eV/atom: -6.15